Below is a relaxed structure of CeHoTh2Sb4, with properties calculated at the GGA-PBE level.

Computed properties:
**Magnetization**: 1.0 μB per formula unit
**Symmetry**: P2/m
**Raw formation energy**: -0.9993 eV per atom
**VASP energy**: -6.229 eV/atom
**Crystal system**: monoclinic

Cell: 7.7305 4.4765 7.7535 Å, 90.00 109.54 90.00°
Fractional coordinates of all 8 atoms:
Ce (0.0000, 0.0000, 0.0000)
Ho (0.0000, 0.5000, 0.5000)
Th (0.5000, 0.0000, 0.5000)
Th (0.5000, 0.5000, 0.0000)
Sb (0.2427, 0.0000, 0.7442)
Sb (0.2450, 0.5000, 0.2520)
Sb (0.7550, 0.5000, 0.7480)
Sb (0.7573, 0.0000, 0.2558)

---

Below is a relaxed structure of Ti6PbO2, with properties calculated at the GGA-PBE level.

Computed properties:
**Magnetization**: 0.0 μB per formula unit
**Symmetry**: R3
**Raw formation energy**: -0.8457 eV per atom
**VASP energy**: -7.623 eV/atom
**Crystal system**: trigonal

Cell: 7.6232 7.6232 7.6232 Å, 40.48 40.48 40.48°
Fractional coordinates of all 9 atoms:
Ti (0.9998, 0.3190, 0.6812)
Ti (0.0892, 0.7708, 0.4539)
Ti (0.3190, 0.6812, 0.9998)
Ti (0.4539, 0.0892, 0.7708)
Ti (0.6812, 0.9998, 0.3190)
Ti (0.7708, 0.4539, 0.0892)
Pb (0.5520, 0.5520, 0.5520)
O (0.8164, 0.8164, 0.8164)
O (0.9555, 0.9555, 0.9555)

---

Below is a relaxed structure of TiOsPt2, with properties calculated at the GGA-PBE level.

Computed properties:
**Magnetization**: 0.8 μB per formula unit
**Symmetry**: Fm-3m
**Energy of formation from the pure elements**: -0.094 eV/atom
**VASP energy**: -7.896 eV/atom
**Crystal system**: cubic

Cell: 4.4574 4.4574 4.4574 Å, 60.00 60.00 60.00°
Fractional coordinates of all 4 atoms:
Ti (0.0000, 0.0000, 0.0000)
Os (0.5000, 0.5000, 0.5000)
Pt (0.2500, 0.2500, 0.2500)
Pt (0.7500, 0.7500, 0.7500)

---

Below is a relaxed structure of Rb6NbP4, with properties calculated at the GGA-PBE level.

Computed properties:
**Magnetization**: 1.1 μB per formula unit
**Symmetry**: P6_3mc
**Energy of formation from the pure elements**: -0.387 eV/atom
**VASP energy**: -3.798 eV/atom
**Crystal system**: hexagonal

Cell: 10.5796 10.5796 8.4618 Å, 90.00 90.00 120.00°
Fractional coordinates of all 22 atoms:
Rb (0.0666, 0.5333, 0.0000)
Rb (0.1451, 0.2902, 0.6825)
Rb (0.1451, 0.8549, 0.6825)
Rb (0.2902, 0.1451, 0.1825)
Rb (0.4667, 0.5333, 0.0000)
Rb (0.4667, 0.9334, 0.0000)
Rb (0.5333, 0.0666, 0.5000)
Rb (0.5333, 0.4667, 0.5000)
Rb (0.7098, 0.8549, 0.6825)
Rb (0.8549, 0.1451, 0.1825)
Rb (0.8549, 0.7098, 0.1825)
Rb (0.9334, 0.4667, 0.5000)
Nb (0.3333, 0.6667, 0.3923)
Nb (0.6667, 0.3333, 0.8924)
P (0.2072, 0.4144, 0.3033)
P (0.2072, 0.7928, 0.3033)
P (0.3333, 0.6667, 0.6768)
P (0.4144, 0.2072, 0.8033)
P (0.5856, 0.7928, 0.3033)
P (0.6667, 0.3333, 0.1768)
P (0.7928, 0.2072, 0.8033)
P (0.7928, 0.5856, 0.8033)

---

Below is a relaxed structure of CdS, with properties calculated at the GGA-PBE level.

Computed properties:
**Magnetization**: 0.0 μB per formula unit
**Symmetry**: F-43m
**Raw formation energy**: -0.6386 eV per atom
**VASP energy**: -3.160 eV/atom
**Crystal system**: cubic

Cell: 4.1913 4.1913 4.1913 Å, 60.00 60.00 60.00°
Fractional coordinates of all 2 atoms:
Cd (0.0000, 0.0000, 0.0000)
S (0.7500, 0.7500, 0.7500)

---

Below is a relaxed structure of SrLaYMo2, with properties calculated at the GGA-PBE level.

Computed properties:
**Magnetization**: 0.0 μB per formula unit
**Symmetry**: P4/mmm
**Energy of formation from the pure elements**: 1.928 eV/atom
**VASP energy**: -5.019 eV/atom
**Crystal system**: tetragonal

Cell: 5.0438 5.0438 5.3394 Å, 90.00 90.00 90.00°
Fractional coordinates of all 5 atoms:
Sr (0.0000, 0.0000, 0.0000)
La (0.0000, 0.0000, 0.5000)
Y (0.5000, 0.5000, 0.5000)
Mo (0.0000, 0.5000, 0.0000)
Mo (0.5000, 0.0000, 0.0000)

---

Below is a relaxed structure of K2ErInBr6, with properties calculated at the GGA-PBE level.

Computed properties:
**Magnetization**: 0.0 μB per formula unit
**Symmetry**: R3
**Raw formation energy**: -1.5951 eV per atom
**VASP energy**: -3.548 eV/atom
**Crystal system**: trigonal

Cell: 8.3799 8.3799 8.3799 Å, 57.55 57.55 57.55°
Fractional coordinates of all 10 atoms:
K (0.0000, 0.0000, 0.0000)
K (0.4885, 0.4885, 0.4885)
Er (0.6964, 0.6964, 0.6964)
In (0.2063, 0.2063, 0.2063)
Br (0.0334, 0.4603, 0.8129)
Br (0.3525, 0.9018, 0.5871)
Br (0.4603, 0.8129, 0.0334)
Br (0.5871, 0.3525, 0.9018)
Br (0.8129, 0.0334, 0.4603)
Br (0.9018, 0.5871, 0.3525)

---

Below is a relaxed structure of H2AuN, with properties calculated at the GGA-PBE level.

Computed properties:
**Magnetization**: 0.0 μB per formula unit
**Excess energy over the best structure of this formula in the dataset**: 479 meV per atom
**Symmetry**: P1
**VASP energy**: -4.063 eV/atom
**Crystal system**: triclinic

Cell: 2.8645 3.4308 5.7541 Å, 73.32 82.32 89.98°
Fractional coordinates of all 4 atoms:
H (0.0000, 0.0000, 0.0000)
H (0.1467, 0.5332, 0.4516)
Au (0.5901, 0.4296, 0.6633)
N (0.0192, 0.3155, 0.9279)

---

Q: Look up the magnetization of the seventh one.
A: 0.0 μB per formula unit